[1]
# LiPaPdRh, optimized geometry, DFT PBE
data_LiPaPdRh
_cell_length_a 4.682
_cell_length_b 4.682
_cell_length_c 4.682
_cell_angle_alpha 60.00
_cell_angle_beta 60.00
_cell_angle_gamma 60.00
_symmetry_space_group_name_H-M 'P 1'
_symmetry_Int_Tables_number 1
_symmetry_space_group_name_Hall 'P 1'
loop_
_atom_site_label
_atom_site_type_symbol
_atom_site_fract_x
_atom_site_fract_y
_atom_site_fract_z
Li1 Li 0.000 0.000 0.000
Pa1 Pa 0.500 0.500 0.500
Pd1 Pd 0.750 0.750 0.750
Rh1 Rh 0.250 0.250 0.250
# ΔE_f (eV per atom): -0.473
# Magnetic moment (μB per cell): 0.001

***

[2]
# Li4Pa3PdS8, optimized geometry, DFT PBE
data_Li4Pa3PdS8
_cell_length_a 7.665
_cell_length_b 7.665
_cell_length_c 7.668
_cell_angle_alpha 118.77
_cell_angle_beta 118.77
_cell_angle_gamma 58.26
_symmetry_space_group_name_H-M 'P 1'
_symmetry_Int_Tables_number 1
_symmetry_space_group_name_Hall 'P 1'
loop_
_atom_site_label
_atom_site_type_symbol
_atom_site_fract_x
_atom_site_fract_y
_atom_site_fract_z
Li1 Li 0.000 0.000 0.000
Li2 Li 0.000 0.500 0.500
Li3 Li 0.500 0.000 0.500
Li4 Li 0.500 0.500 0.000
Pa1 Pa 0.000 0.000 0.500
Pa2 Pa 0.000 0.500 0.000
Pa3 Pa 0.500 0.000 0.000
Pd1 Pd 0.500 0.500 0.500
S1 S 0.231 0.231 0.236
S2 S 0.246 0.246 0.731
S3 S 0.250 0.738 0.245
S4 S 0.262 0.750 0.755
S5 S 0.738 0.250 0.245
S6 S 0.750 0.262 0.755
S7 S 0.754 0.754 0.269
S8 S 0.769 0.769 0.764
# Magnetic moment (μB per cell): 3.172
# ΔE_f (raw) (meV/atom): -1329

***

[3]
# LiPaPdS3, optimized geometry, DFT PBE
data_LiPaPdS3
_cell_length_a 6.451
_cell_length_b 6.451
_cell_length_c 10.221
_cell_angle_alpha 90.00
_cell_angle_beta 90.00
_cell_angle_gamma 144.21
_symmetry_space_group_name_H-M 'P 1'
_symmetry_Int_Tables_number 1
_symmetry_space_group_name_Hall 'P 1'
loop_
_atom_site_label
_atom_site_type_symbol
_atom_site_fract_x
_atom_site_fract_y
_atom_site_fract_z
Li1 Li 0.232 0.768 0.750
Li2 Li 0.768 0.232 0.250
Pa1 Pa 0.500 0.500 0.000
Pa2 Pa 0.500 0.500 0.500
Pd1 Pd 0.033 0.967 0.250
Pd2 Pd 0.967 0.033 0.750
S1 S 0.140 0.860 0.054
S2 S 0.140 0.860 0.446
S3 S 0.412 0.588 0.250
S4 S 0.588 0.412 0.750
S5 S 0.860 0.140 0.554
S6 S 0.860 0.140 0.946
# Magnetic moment (μB per cell): 0.000
# ΔE_f (raw) (meV/atom): -1257

***

[4]
# LiPaPdS4, optimized geometry, DFT PBE
data_LiPaPdS4
_cell_length_a 6.875
_cell_length_b 5.376
_cell_length_c 8.744
_cell_angle_alpha 90.00
_cell_angle_beta 106.54
_cell_angle_gamma 90.00
_symmetry_space_group_name_H-M 'P 1'
_symmetry_Int_Tables_number 1
_symmetry_space_group_name_Hall 'P 1'
loop_
_atom_site_label
_atom_site_type_symbol
_atom_site_fract_x
_atom_site_fract_y
_atom_site_fract_z
Li1 Li 0.090 0.250 0.135
Li2 Li 0.910 0.750 0.865
Pa1 Pa 0.233 0.750 0.445
Pa2 Pa 0.767 0.250 0.555
Pd1 Pd 0.263 0.250 0.706
Pd2 Pd 0.737 0.750 0.294
S1 S 0.006 0.250 0.845
S2 S 0.083 0.250 0.424
S3 S 0.476 0.039 0.294
S4 S 0.476 0.461 0.294
S5 S 0.524 0.539 0.706
S6 S 0.524 0.961 0.706
S7 S 0.917 0.750 0.576
S8 S 0.994 0.750 0.155
# Magnetic moment (μB per cell): 0.000
# ΔE_f (raw) (meV/atom): -1038